[1]
DFT (PBE) results for TlZnFeSn2 after structural relaxation.

```
TlZnFeSn2
1.0
4.9415 0.0000 0.0000
0.0000 4.9415 0.0000
0.0000 0.0000 4.8922
Sn Tl Zn Fe
2 1 1 1
Direct
0.5000 0.0000 0.0000
0.0000 0.5000 0.0000
0.5000 0.5000 0.5000
0.0000 0.0000 0.5000
0.0000 0.0000 0.0000
```


[2]
DFT (PBE) results for Tm5FeSn2 after structural relaxation.

```
Tm5FeSn2
1.0
5.3620 0.0000 0.0000
-2.6810 8.0812 0.0000
0.0000 0.0000 11.9925
Sn Tm Fe
4 10 2
Direct
0.8744 0.7489 0.1270
0.8744 0.7489 0.3730
0.1256 0.2511 0.6270
0.1256 0.2511 0.8730
0.3018 0.6035 0.7500
0.2876 0.5752 0.4232
0.9297 0.8594 0.8916
0.6982 0.3965 0.2500
0.9297 0.8594 0.6084
0.2876 0.5752 0.0768
0.7124 0.4248 0.5768
0.7124 0.4248 0.9232
0.0703 0.1406 0.3916
0.0703 0.1406 0.1084
0.8180 0.6360 0.7500
0.1820 0.3640 0.2500
```


[3]
DFT (PBE) results for Tm6Fe2Sn after structural relaxation.

```
Tm6Fe2Sn
1.0
8.2876 0.0824 -0.0297
-3.0637 7.7009 0.0297
-2.8209 -3.7514 6.8309
Tm Sn Fe
12 2 4
Direct
0.2989 0.6128 0.3139
0.7011 0.0150 0.3139
0.4748 0.2870 0.1878
0.2174 0.2319 0.4493
0.5252 0.7130 0.8122
0.2989 0.9850 0.6861
0.7826 0.2319 0.0145
0.7011 0.3872 0.6861
0.2174 0.7681 0.9855
0.0992 0.2870 0.8122
0.9008 0.7130 0.1878
0.7826 0.7681 0.5507
0.0000 0.5000 0.5000
0.0000 0.0000 0.0000
0.5000 0.6096 0.1096
0.6151 0.0000 0.6151
0.5000 0.3904 0.8904
0.3849 0.0000 0.3849
```


[4]
DFT (PBE) results for Tm5Fe2Sn after structural relaxation.

```
Tm5Fe2Sn
1.0
-2.1963 5.6917 -3.8422
-6.3371 -3.2340 -1.1682
1.5480 1.8758 8.6585
Tm Fe Sn
10 4 2
Direct
0.5000 0.5000 0.0000
0.0000 0.0000 0.0000
0.9513 0.4513 0.2594
0.6919 0.1919 0.7406
0.1919 0.0487 0.7406
0.4513 0.3081 0.2594
0.3081 0.8081 0.2594
0.0487 0.5487 0.7406
0.8081 0.9513 0.2594
0.5487 0.6919 0.7406
0.1075 0.3925 0.0000
0.6075 0.1075 0.0000
0.8925 0.6075 0.0000
0.3925 0.8925 0.0000
0.7500 0.7500 0.5000
0.2500 0.2500 0.5000
```


[5]
DFT (PBE) results for Tm6FeSn3 after structural relaxation.

```
Tm6FeSn3
1.0
-5.8373 -5.7963 2.0689
2.3098 -3.0433 -7.5733
6.4809 -2.8796 4.6538
Tm Sn Fe
12 6 2
Direct
0.1988 0.5545 0.4280
0.8012 0.4455 0.5720
0.6944 0.0126 0.9440
0.0126 0.9440 0.6944
0.0560 0.3056 0.9874
0.9874 0.0560 0.3056
0.5545 0.4280 0.1988
0.5720 0.8012 0.4455
0.9440 0.6944 0.0126
0.4280 0.1988 0.5545
0.4455 0.5720 0.8012
0.3056 0.9874 0.0560
0.6948 0.3565 0.8810
0.6435 0.1190 0.3052
0.3052 0.6435 0.1190
0.3565 0.8810 0.6948
0.1190 0.3052 0.6435
0.8810 0.6948 0.3565
0.5000 0.5000 0.5000
0.0000 0.0000 0.0000
```


[6]
DFT (PBE) results for Tm12Fe6Sn after structural relaxation.

```
Tm12Fe6Sn
1.0
-4.9342 -6.6285 0.4362
5.7997 -1.2534 -5.7677
3.6256 1.2273 7.3364
Tm Sn Fe
12 1 6
Direct
0.8973 0.1955 0.7019
0.7019 0.8973 0.1955
0.5064 0.8045 0.7019
0.7019 0.5064 0.8045
0.8045 0.2981 0.1027
0.2981 0.1027 0.8045
0.4936 0.1955 0.2981
0.8045 0.7019 0.5064
0.1955 0.2981 0.4936
0.1027 0.8045 0.2981
0.1955 0.7019 0.8973
0.2981 0.4936 0.1955
0.0000 0.0000 0.0000
0.5000 0.8892 0.3892
0.5000 0.1108 0.6108
0.8892 0.3892 0.5000
0.3892 0.5000 0.8892
0.1108 0.6108 0.5000
0.6108 0.5000 0.1108
```


[7]
DFT (PBE) results for Tm8FeSn2 after structural relaxation.

```
Tm8FeSn2
1.0
-2.6228 3.6022 3.0662
-3.8539 1.7476 -5.3498
-1.9127 -8.0819 3.0877
Tm Fe Sn
8 1 2
Direct
0.3792 0.6186 0.7584
0.0002 0.7583 0.0004
0.1921 0.1932 0.3841
0.6216 0.8626 0.2431
0.9998 0.2417 0.9996
0.3784 0.1374 0.7569
0.6208 0.3814 0.2416
0.8079 0.8068 0.6159
0.5000 0.0000 0.0000
0.8140 0.3137 0.6280
0.1860 0.6863 0.3720
```


[8]
DFT (PBE) results for Tm12FeSn6 after structural relaxation.

```
Tm12FeSn6
1.0
8.4468 -0.0535 -0.0641
-1.3334 8.3411 -0.0641
-1.3334 -1.5535 8.1954
Tm Sn Fe
12 6 1
Direct
0.1986 0.4230 0.5542
0.6935 0.9475 0.0097
0.4458 0.8014 0.5770
0.4230 0.5542 0.1986
0.9475 0.0097 0.6935
0.0097 0.6935 0.9475
0.3065 0.0525 0.9903
0.8014 0.5770 0.4458
0.0525 0.9903 0.3065
0.5542 0.1986 0.4230
0.9903 0.3065 0.0525
0.5770 0.4458 0.8014
0.6868 0.8792 0.3562
0.3562 0.6868 0.8792
0.1208 0.6438 0.3132
0.8792 0.3562 0.6868
0.6438 0.3132 0.1208
0.3132 0.1208 0.6438
0.0000 0.0000 0.0000
```


[9]
DFT (PBE) results for TmFeSn after structural relaxation.

```
TmFeSn
1.0
3.8324 0.0000 0.0000
1.9162 3.3190 0.0000
1.9162 1.1063 10.6787
Tm Fe Sn
2 2 2
Direct
0.4416 0.4416 0.6753
0.5584 0.5584 0.3247
0.8345 0.8345 0.4965
0.1655 0.1655 0.5035
0.3018 0.3018 0.0947
0.6982 0.6982 0.9053
```


[10]
DFT (PBE) results for U2Fe2Sn after structural relaxation.

```
U2Fe2Sn
1.0
-0.8513 -1.3258 -4.1449
0.6361 -4.5259 1.3170
-8.5111 -0.0471 1.7630
Fe U Sn
4 4 2
Direct
0.7500 0.6909 0.9462
0.7500 0.6292 0.6459
0.2500 0.3708 0.3541
0.2500 0.3091 0.0538
0.2500 0.8105 0.4580
0.2500 0.9088 0.1478
0.7500 0.1895 0.5420
0.7500 0.0912 0.8522
0.7500 0.4629 0.2157
0.2500 0.5371 0.7843
```


[11]
DFT (PBE) results for U2FeSn after structural relaxation.

```
U2FeSn
1.0
-2.7936 0.0074 -1.3136
-0.5672 -1.8158 -2.4313
-3.9566 -7.7397 4.7435
U Sn Fe
2 1 1
Direct
0.2631 0.2631 0.2106
0.7369 0.7369 0.7894
0.5000 0.5000 0.5000
0.0000 0.0000 0.0000
```

ΔE to the lowest computed polymorph	179.4	meV/atom


[12]
DFT (PBE) results for UFe2Sn after structural relaxation.

```
UFe2Sn
1.0
3.3275 0.0000 0.0000
1.6637 2.8817 0.0000
1.6637 0.9606 7.1142
Sn Fe U
1 2 1
Direct
0.5000 0.5000 0.5000
0.7393 0.7393 0.7821
0.2607 0.2607 0.2179
0.0000 0.0000 0.0000
```


no.,ΔH_f (0 K) (eV per atom),total magnetization (μB per cell),Fermi-level density of states (states/eV per cell)
1,0.15,0.900,2.810
2,0.00,0.000,11.309
3,-0.26,2.775,17.604
4,-0.25,0.002,13.708
5,-0.27,0.001,14.380
6,-0.15,6.088,15.585
7,-0.27,0.000,10.339
8,-0.32,0.000,16.913
9,-0.19,1.798,5.531
10,-0.07,0.000,11.880
11,0.19,1.930,8.626
12,0.24,0.598,4.396